(1)
# Ba2CaHgPt (PBE-GGA, relaxed)
# Electronic total energy (eV/f.u.): -14.67
# Crystal system: tetragonal
data_Ba2CaHgPt
_chemical_formula_sum 'Ba2 Ca1 Hg1 Pt1'
_symmetry_space_group_name_H-M 'P 1'
_symmetry_Int_Tables_number 1
_cell_length_a 6.1981
_cell_length_b 6.1981
_cell_length_c 5.5418
_cell_angle_alpha 90.00
_cell_angle_beta 90.00
_cell_angle_gamma 90.00
loop_
_symmetry_equiv_pos_as_xyz
'x,y,z'
loop_
_atom_site_label
_atom_site_fract_x
_atom_site_fract_y
_atom_site_fract_z
Ba1 0.0000 0.5000 0.0000
Ba2 0.5000 0.0000 0.0000
Ca1 0.0000 0.0000 0.5000
Hg1 0.5000 0.5000 0.5000
Pt1 0.0000 0.0000 0.0000

(2)
# Be2CoRu (PBE-GGA, relaxed)
# Electronic total energy (eV/f.u.): -24.09
# Crystal system: monoclinic
data_Be2CoRu
_chemical_formula_sum 'Be2 Co1 Ru1'
_symmetry_space_group_name_H-M 'P 1'
_symmetry_Int_Tables_number 1
_cell_length_a 2.5010
_cell_length_b 3.5943
_cell_length_c 4.6396
_cell_angle_alpha 90.00
_cell_angle_beta 96.67
_cell_angle_gamma 90.00
loop_
_symmetry_equiv_pos_as_xyz
'x,y,z'
loop_
_atom_site_label
_atom_site_fract_x
_atom_site_fract_y
_atom_site_fract_z
Be1 0.2108 0.0000 0.2613
Be2 0.7892 0.0000 0.7387
Co1 0.0000 0.5000 0.5000
Ru1 0.5000 0.5000 0.0000

(3)
# TmPaGa (PBE-GGA, relaxed)
# Distance to the lowest polymorph of the same formula (eV per atom): 0.000
# Crystal system: tetragonal
data_TmPaGa
_chemical_formula_sum 'Tm2 Pa2 Ga2'
_symmetry_space_group_name_H-M 'P 1'
_symmetry_Int_Tables_number 1
_cell_length_a 3.2332
_cell_length_b 3.2332
_cell_length_c 13.6324
_cell_angle_alpha 90.00
_cell_angle_beta 90.00
_cell_angle_gamma 90.00
loop_
_symmetry_equiv_pos_as_xyz
'x,y,z'
loop_
_atom_site_label
_atom_site_fract_x
_atom_site_fract_y
_atom_site_fract_z
Tm1 0.0000 0.0000 0.0000
Tm2 0.5000 0.5000 0.5000
Pa1 0.0000 0.0000 0.3047
Pa2 0.5000 0.5000 0.8047
Ga1 0.0000 0.0000 0.6506
Ga2 0.5000 0.5000 0.1506

(4)
# LiPdBr (PBE-GGA, relaxed)
# E_form (uncorrected) (eV/atom): -0.639
# Distance to the lowest polymorph of the same formula (eV per atom): 0.000
# Crystal system: tetragonal
data_LiPdBr
_chemical_formula_sum 'Li2 Pd2 Br2'
_symmetry_space_group_name_H-M 'P 1'
_symmetry_Int_Tables_number 1
_cell_length_a 3.5280
_cell_length_b 3.5280
_cell_length_c 9.8483
_cell_angle_alpha 90.00
_cell_angle_beta 90.00
_cell_angle_gamma 90.00
loop_
_symmetry_equiv_pos_as_xyz
'x,y,z'
loop_
_atom_site_label
_atom_site_fract_x
_atom_site_fract_y
_atom_site_fract_z
Li1 0.2500 0.2500 0.2432
Li2 0.7500 0.7500 0.7568
Pd1 0.2500 0.2500 0.9416
Pd2 0.7500 0.7500 0.0584
Br1 0.2500 0.2500 0.6763
Br2 0.7500 0.7500 0.3237

(5)
# CeSm3N3 (PBE-GGA, relaxed)
# E_form (uncorrected) (eV/atom): -0.968
# Distance to the lowest polymorph of the same formula (eV per atom): 0.158
# Crystal system: monoclinic
data_CeSm3N3
_chemical_formula_sum 'Ce2 Sm6 N6'
_symmetry_space_group_name_H-M 'P 1'
_symmetry_Int_Tables_number 1
_cell_length_a 6.4332
_cell_length_b 6.4332
_cell_length_c 7.7416
_cell_angle_alpha 97.57
_cell_angle_beta 97.57
_cell_angle_gamma 108.82
loop_
_symmetry_equiv_pos_as_xyz
'x,y,z'
loop_
_atom_site_label
_atom_site_fract_x
_atom_site_fract_y
_atom_site_fract_z
Ce1 0.1903 0.1903 0.1969
Ce2 0.8097 0.8097 0.8031
Sm1 0.1758 0.1758 0.6491
Sm2 0.3059 0.6941 0.5000
Sm3 0.3337 0.6663 0.0000
Sm4 0.6663 0.3337 0.0000
Sm5 0.6941 0.3059 0.5000
Sm6 0.8242 0.8242 0.3509
N1 0.0231 0.2928 0.4015
N2 0.2928 0.0231 0.4015
N3 0.4951 0.4951 0.7657
N4 0.5049 0.5049 0.2343
N5 0.7072 0.9769 0.5985
N6 0.9769 0.7072 0.5985

(6)
# DyPaGaAg (PBE-GGA, relaxed)
# Electronic total energy (eV/f.u.): -20.27
# Crystal system: cubic
data_DyPaGaAg
_chemical_formula_sum 'Dy4 Pa4 Ga4 Ag4'
_symmetry_space_group_name_H-M 'P 1'
_symmetry_Int_Tables_number 1
_cell_length_a 7.2323
_cell_length_b 7.2323
_cell_length_c 7.2323
_cell_angle_alpha 90.00
_cell_angle_beta 90.00
_cell_angle_gamma 90.00
loop_
_symmetry_equiv_pos_as_xyz
'x,y,z'
loop_
_atom_site_label
_atom_site_fract_x
_atom_site_fract_y
_atom_site_fract_z
Dy1 0.0000 0.0000 0.0000
Dy2 0.0000 0.5000 0.5000
Dy3 0.5000 0.0000 0.5000
Dy4 0.5000 0.5000 0.0000
Pa1 0.0000 0.0000 0.5000
Pa2 0.0000 0.5000 0.0000
Pa3 0.5000 0.0000 0.0000
Pa4 0.5000 0.5000 0.5000
Ga1 0.2500 0.2500 0.2500
Ga2 0.2500 0.7500 0.7500
Ga3 0.7500 0.2500 0.7500
Ga4 0.7500 0.7500 0.2500
Ag1 0.2500 0.2500 0.7500
Ag2 0.2500 0.7500 0.2500
Ag3 0.7500 0.2500 0.2500
Ag4 0.7500 0.7500 0.7500